{"formula": "ScTlAg2", "functional": "PBE", "state": "relaxed", "cell": [[-3.661, -0.343, 3.228], [-1.525, -2.163, -1.959], [2.476, -3.912, 2.392]], "species": ["Ag", "Ag", "Tl", "Sc"], "fractional_positions": [[0.500, 0.375, 0.191], [0.000, 0.875, 0.060], [0.500, 0.875, 0.696], [0.000, 0.375, 0.554]], "crystal_system": "orthorhombic", "dft_energy_ev_per_atom": -3.661, "spacegroup": "No. 25", "ef_kcal_per_mol_atoms": -1.413, "vol_a3_per_cell": 84.0}